A relaxed Pr6InGe2Te3 crystal, computed with PBE-GGA.

The structure belongs to space group C2/m (No. 12); the cell edges are 19.6376, 4.4297 and 9.0919 Å and the angles 90.00°, 104.70° and 90.00°. The inequivalent atoms are Pr at (0.0068, 0.0000, 0.2571), Pr at (0.1687, 0.5000, 0.1017), Pr at (0.1726, 0.5000, 0.5680), In at (0.0000, 0.5000, 0.0000), Ge at (0.1670, 0.0000, 0.3328), Te at (0.0000, 0.5000, 0.5000) and Te at (0.1648, 0.0000, 0.8313).

For the calculated total energy, the calculation gives -126.47 eV per cell. For the formation energy from raw total energies, the calculation gives -13.16 eV per formula unit.

=====

A relaxed InGePt6 crystal, computed with PBE-GGA.

The structure belongs to space group P4/mmm (No. 123); the cell edges are 4.0088, 4.0088 and 8.0109 Å and the angles 90.00°, 90.00° and 90.00°. The inequivalent atoms are In at (0.0000, 0.0000, 0.0000), Ge at (0.0000, 0.0000, 0.5000), Pt at (0.0000, 0.5000, 0.2578), Pt at (0.5000, 0.5000, 0.0000) and Pt at (0.5000, 0.5000, 0.5000).

For the calculated total energy, the calculation gives -46.28 eV per cell. The calculation puts the calculated formation energy at -2.68 eV/f.u.

=====

A relaxed InGePt4 crystal, computed with PBE-GGA.

The structure belongs to space group P-1 (No. 2); the cell edges are 4.4381, 7.0932 and 7.2674 Å and the angles 99.88°, 107.61° and 90.24°. The inequivalent atoms are In at (0.1616, 0.2493, 0.4993), Ge at (0.0000, 0.5000, 0.0000), Ge at (0.5000, 0.0000, 0.0000), Pt at (0.0336, 0.8571, 0.1198), Pt at (0.2603, 0.5692, 0.3541), Pt at (0.4074, 0.9315, 0.6467) and Pt at (0.4164, 0.6424, 0.8804).

For the calculated total energy, the calculation gives -66.73 eV per cell. The calculation puts the calculated formation energy at -1.85 eV/f.u.

=====

A relaxed In3GePt crystal, computed with PBE-GGA.

The structure belongs to space group Pm-3m (No. 221); the cell edges are 5.1856, 5.1856 and 5.1856 Å and the angles 90.00°, 90.00° and 90.00°. The inequivalent atoms are In at (0.0000, 0.0000, 0.5000), Ge at (0.0000, 0.0000, 0.0000) and Pt at (0.5000, 0.5000, 0.5000).

As for the energy above the most stable polymorph in this dataset: 2.66 eV per formula unit. For the calculated total energy, the calculation gives -15.67 eV per cell. The calculation puts the calculated formation energy at 3.20 eV/f.u.

=====

A relaxed In3GePt12 crystal, computed with PBE-GGA.

The structure belongs to space group P4/mmm (No. 123); the cell edges are 4.0344, 4.0344 and 16.0794 Å and the angles 90.00°, 90.00° and 90.00°. The inequivalent atoms are In at (0.0000, 0.0000, 0.0000), In at (0.0000, 0.0000, 0.2515), Ge at (0.0000, 0.0000, 0.5000), Pt at (0.0000, 0.5000, 0.1263), Pt at (0.0000, 0.5000, 0.3804), Pt at (0.5000, 0.5000, 0.0000), Pt at (0.5000, 0.5000, 0.2539) and Pt at (0.5000, 0.5000, 0.5000).

For the calculated total energy, the calculation gives -90.99 eV per cell. The calculation puts the calculated formation energy at -5.67 eV/f.u.

=====

A relaxed InGePt4 crystal, computed with PBE-GGA.

The structure belongs to space group Pnma (No. 62); the cell edges are 6.7653, 3.7477 and 16.1857 Å and the angles 90.00°, 90.00° and 90.00°. The inequivalent atoms are In at (0.2361, 0.2500, 0.2014), Ge at (0.2362, 0.7500, 0.4512), Pt at (0.0114, 0.2500, 0.0654), Pt at (0.0877, 0.2500, 0.8069), Pt at (0.1070, 0.2500, 0.3614) and Pt at (0.1473, 0.2500, 0.5603).

For the calculated total energy, the calculation gives -133.47 eV per cell. The calculation puts the calculated formation energy at -1.85 eV/f.u.

=====

A relaxed In3GePt crystal, computed with PBE-GGA.

The structure belongs to space group Pm-3m (No. 221); the cell edges are 5.1721, 5.1721 and 5.1721 Å and the angles 90.00°, 90.00° and 90.00°. The inequivalent atoms are In at (0.0000, 0.0000, 0.5000), Ge at (0.5000, 0.5000, 0.5000) and Pt at (0.0000, 0.0000, 0.0000).

As for the energy above the most stable polymorph in this dataset: 0.00 eV per formula unit. For the calculated total energy, the calculation gives -18.33 eV per cell. The calculation puts the calculated formation energy at 0.54 eV/f.u.

=====

A relaxed InGe3Pt crystal, computed with PBE-GGA.

The structure belongs to space group Pm-3m (No. 221); the cell edges are 4.9547, 4.9547 and 4.9547 Å and the angles 90.00°, 90.00° and 90.00°. The inequivalent atoms are In at (0.0000, 0.0000, 0.0000), Ge at (0.0000, 0.5000, 0.5000) and Pt at (0.5000, 0.5000, 0.5000).

For the calculated total energy, the calculation gives -21.38 eV per cell. The calculation puts the calculated formation energy at 1.25 eV/f.u.

=====

A relaxed In2GePt2 crystal, computed with PBE-GGA.

The structure belongs to space group P4/mbm (No. 127); the cell edges are 8.1669, 8.1669 and 2.9432 Å and the angles 90.00°, 90.00° and 90.00°. The inequivalent atoms are In at (0.1510, 0.3490, 0.0000), Ge at (0.0000, 0.0000, 0.0000) and Pt at (0.1454, 0.6454, 0.5000).

As for the energy above the most stable polymorph in this dataset: 0.36 eV per formula unit. For the calculated total energy, the calculation gives -46.18 eV per cell. The calculation puts the calculated formation energy at -0.91 eV/f.u.

=====

A relaxed In2GePt2 crystal, computed with PBE-GGA.

The structure belongs to space group P4/mbm (No. 127); the cell edges are 7.9594, 7.9594 and 3.0489 Å and the angles 90.00°, 90.00° and 90.00°. The inequivalent atoms are In at (0.1585, 0.3415, 0.0000), Ge at (0.0000, 0.0000, 0.5000) and Pt at (0.1397, 0.6397, 0.5000).

As for the energy above the most stable polymorph in this dataset: 0.00 eV per formula unit. For the calculated total energy, the calculation gives -46.90 eV per cell. The calculation puts the calculated formation energy at -1.27 eV/f.u.

=====

A relaxed In2GePt2 crystal, computed with PBE-GGA.

The structure belongs to space group I4/mmm (No. 139); the cell edges are 4.0978, 4.0978 and 12.5615 Å and the angles 90.00°, 90.00° and 90.00°. The inequivalent atoms are In at (0.0000, 0.5000, 0.2500), Ge at (0.0000, 0.0000, 0.0000) and Pt at (0.0000, 0.0000, 0.3956).

As for the energy above the most stable polymorph in this dataset: 1.05 eV per formula unit. For the calculated total energy, the calculation gives -44.80 eV per cell. The calculation puts the calculated formation energy at -0.23 eV/f.u.

=====

A relaxed Pu2InGe4Pt3 crystal, computed with PBE-GGA.

The structure belongs to space group P-4m2 (No. 115); the cell edges are 4.2872, 4.2872 and 10.8423 Å and the angles 90.00°, 90.00° and 90.00°. The inequivalent atoms are Pu at (0.0000, 0.5000, 0.2417), In at (0.0000, 0.0000, 0.5000), Ge at (0.0000, 0.0000, 0.0000), Ge at (0.0000, 0.5000, 0.6526), Ge at (0.5000, 0.5000, 0.0000), Pt at (0.0000, 0.5000, 0.8776) and Pt at (0.5000, 0.5000, 0.5000).

For the calculated total energy, the calculation gives -73.65 eV per cell. The calculation puts the calculated formation energy at -5.65 eV/f.u.